# Na3TaTi | the Alexandria database | PBE-GGA | optimized geometry
# DOS(E_F) in states/eV/f.u.: 5.67
# ΔE to the lowest computed polymorph in eV per atom: 0.000
# Formation energy in eV per atom: 2.037
data_Na3TaTi
_symmetry_space_group_name_H-M 'P 1'
_symmetry_Int_Tables_number 1
_symmetry_space_group_name_Hall 'P 1'
_cell_length_a 5.8463
_cell_length_b 5.8463
_cell_length_c 5.8463
_cell_angle_alpha 90.00
_cell_angle_beta 90.00
_cell_angle_gamma 90.00
loop_
_atom_site_label
_atom_site_fract_x
_atom_site_fract_y
_atom_site_fract_z
Na1 0.0000 0.0000 0.5000
Na2 0.0000 0.5000 0.0000
Na3 0.5000 0.0000 0.0000
Ta1 0.0000 0.0000 0.0000
Ti1 0.5000 0.5000 0.5000

---

# BaSrRu2 | the Alexandria database | PBE-GGA | optimized geometry
# DOS(E_F) in states/eV/f.u.: 5.62
# ΔE to the lowest computed polymorph in eV per atom: 0.108
# Formation energy in eV per atom: 0.292
data_BaSrRu2
_symmetry_space_group_name_H-M 'P 1'
_symmetry_Int_Tables_number 1
_symmetry_space_group_name_Hall 'P 1'
_cell_length_a 4.2674
_cell_length_b 6.1984
_cell_length_c 6.1984
_cell_angle_alpha 47.13
_cell_angle_beta 90.00
_cell_angle_gamma 90.00
loop_
_atom_site_label
_atom_site_fract_x
_atom_site_fract_y
_atom_site_fract_z
Ba1 0.0000 0.0000 0.0000
Sr1 0.5000 0.7165 0.7165
Ru1 0.0000 0.3052 0.3052
Ru2 0.5000 0.3941 0.3941

---

# CeTh2 | the Alexandria database | PBE-GGA | optimized geometry
# DOS(E_F) in states/eV/f.u.: 6.50
# ΔE to the lowest computed polymorph in eV per atom: 0.057
# Formation energy in eV per atom: 0.075
data_CeTh2
_symmetry_space_group_name_H-M 'P 1'
_symmetry_Int_Tables_number 1
_symmetry_space_group_name_Hall 'P 1'
_cell_length_a 8.9665
_cell_length_b 8.9665
_cell_length_c 8.9665
_cell_angle_alpha 22.59
_cell_angle_beta 22.59
_cell_angle_gamma 22.59
loop_
_atom_site_label
_atom_site_fract_x
_atom_site_fract_y
_atom_site_fract_z
Ce1 0.0000 0.0000 0.0000
Th1 0.2228 0.2228 0.2228
Th2 0.7772 0.7772 0.7772